The following is a DFT calculation (PBE+U) of an optimized crystal structure of Cr2Au2F.

Summary:
size of the total moment	18.0	Bohr magnetons per cell
calculated density	7.54	g cm⁻³
volume	22.76	A^3/atom
SG	I4/mmm (139)
calculated total energy	-4.557	eV per atom

a = 4.682 Å, b = 4.682 Å, c = 10.383 Å
α = 90.00°, β = 90.00°, γ = 90.00°
Atoms (fractional coordinates):
Cr1 0.000 0.500 0.250
Cr2 0.000 0.500 0.750
Cr3 0.500 0.000 0.250
Cr4 0.500 0.000 0.750
Au1 0.000 0.000 0.127
Au2 0.000 0.000 0.873
Au3 0.500 0.500 0.373
Au4 0.500 0.500 0.627
F1 0.000 0.000 0.500
F2 0.500 0.500 0.000